(1)
Density functional theory data (PBEsol) for crystalline KP at its relaxed geometry.

Results
Energy above the lowest structure with this stoichiometry   0.714 eV per atom
Formation enthalpy at 0 K   298 meV per atom
Size of the total moment   0.00 μB per formula unit
Density of states at the Fermi level   1.3 states/eV/f.u.

Lattice parameters (Å, degrees): 5.4154 5.4154 5.4154 127.65 127.65 77.19
Last column: nearest neighbours and their distance in Å.
Sites, in units of the cell vectors:
K 0.3750 0.6250 0.7500  4 K 3.19, 8 P 3.19-3.38
K 0.6250 0.3750 0.2500  4 K 3.19, 8 P 3.19-3.38
P 0.1250 0.8750 0.2500  8 K 3.19-3.38, 4 P 3.19
P 0.8750 0.1250 0.7500  4 P 3.19, 8 K 3.19-3.38

---

(2)
Density functional theory data (PBEsol) for crystalline K2P3 at its relaxed geometry.

Results
Formation enthalpy at 0 K   -411 meV per atom
Size of the total moment   0.00 μB per formula unit

Lattice parameters (Å, degrees): 11.7967 10.1328 8.3874 78.51 57.32 44.17
Last column: nearest neighbours and their distance in Å.
Sites, in units of the cell vectors:
K 0.0007 0.0007 0.7493  8 P 3.39-3.44
K 0.2403 0.2403 0.5097  10 P 3.28-3.37
K 0.2507 0.2507 0.9993  8 P 3.39-3.44
K 0.4903 0.4903 0.7597  10 P 3.28-3.37
K 0.5097 0.5097 0.2403  10 P 3.28-3.37
K 0.7493 0.7493 0.0007  8 P 3.39-3.44
K 0.7597 0.7597 0.4903  10 P 3.28-3.37
K 0.9993 0.9993 0.2507  8 P 3.39-3.44
P 0.0751 0.6782 0.5271  2 P 2.16
P 0.2196 0.5271 0.6782  2 P 2.16
P 0.2277 0.5223 0.2277  2 P 2.16
P 0.3218 0.9249 0.7804  2 P 2.16
P 0.4729 0.7804 0.9249  2 P 2.16
P 0.4777 0.7723 0.4777  2 P 2.16
P 0.5223 0.2277 0.5223  2 P 2.16
P 0.5271 0.2196 0.0751  2 P 2.16
P 0.6782 0.0751 0.2196  2 P 2.16
P 0.7723 0.4777 0.7723  2 P 2.16
P 0.7804 0.4729 0.3218  2 P 2.16
P 0.9249 0.3218 0.4729  2 P 2.16

---

(3)
Density functional theory data (PBEsol) for crystalline K3P at its relaxed geometry.

Results
Formation enthalpy at 0 K   -99 meV per atom
Size of the total moment   0.00 μB per formula unit
Density of states at the Fermi level   3.1 states/eV/f.u.

Lattice parameters (Å, degrees): 6.2876 6.2876 6.2876 90.00 90.00 90.00
Last column: nearest neighbours and their distance in Å.
Sites, in units of the cell vectors:
K 0.0000 0.0000 0.5000  2 P 3.14
K 0.0000 0.5000 0.0000  2 P 3.14
K 0.5000 0.0000 0.0000  2 P 3.14
P 0.0000 0.0000 0.0000  6 K 3.14

---

(4)
Density functional theory data (PBEsol) for crystalline K2P at its relaxed geometry.

Results
Energy above the lowest structure with this stoichiometry   0.226 eV per atom
Formation enthalpy at 0 K   -15 meV per atom
Size of the total moment   0.00 μB per formula unit
Density of states at the Fermi level   1.7 states/eV/f.u.

Lattice parameters (Å, degrees): 5.9333 5.9314 4.1703 69.45 69.40 41.16
Last column: nearest neighbours and their distance in Å.
Sites, in units of the cell vectors:
K 0.1509 0.1509 0.8491  1 K 3.11, 4 P 3.33
K 0.8491 0.8491 0.1509  1 K 3.11, 4 P 3.33
P 0.5000 0.5000 0.5000  10 K 3.33-3.59

---

(5)
Density functional theory data (PBEsol) for crystalline KP at its relaxed geometry.

Results
Energy above the lowest structure with this stoichiometry   0.065 eV per atom
Formation enthalpy at 0 K   -350 meV per atom
Size of the total moment   0.00 μB per formula unit
Density of states at the Fermi level   0.4 states/eV/f.u.

Lattice parameters (Å, degrees): 6.1373 6.1373 3.8221 90.00 90.00 131.70
Last column: nearest neighbours and their distance in Å.
Sites, in units of the cell vectors:
K 0.1406 0.8594 0.7500  7 P 3.30-3.40, 2 K 3.68
K 0.8594 0.1406 0.2500  7 P 3.30-3.40, 2 K 3.68
P 0.4442 0.5558 0.7500  2 P 2.28
P 0.5558 0.4442 0.2500  2 P 2.28

---

(6)
Density functional theory data (PBEsol) for crystalline K3P at its relaxed geometry.

Results
Formation enthalpy at 0 K   -216 meV per atom
Size of the total moment   0.00 μB per formula unit
Density of states at the Fermi level   1.6 states/eV/f.u.

Lattice parameters (Å, degrees): 5.6179 5.6179 9.9467 90.00 90.00 120.00
Last column: nearest neighbours and their distance in Å.
Sites, in units of the cell vectors:
K 0.0000 0.0000 0.2500  3 P 3.24
K 0.0000 0.0000 0.7500  3 P 3.24
K 0.3333 0.6667 0.0796  4 P 3.28-3.66, 7 K 3.39-3.66
K 0.3333 0.6667 0.4204  4 P 3.28-3.66, 7 K 3.39-3.66
K 0.6667 0.3333 0.5796  4 P 3.28-3.66, 7 K 3.39-3.66
K 0.6667 0.3333 0.9204  4 P 3.28-3.66, 7 K 3.39-3.66
P 0.3333 0.6667 0.7500  5 K 3.24-3.28
P 0.6667 0.3333 0.2500  5 K 3.24-3.28

---

(7)
Density functional theory data (PBEsol) for crystalline K2P at its relaxed geometry.

Results
Energy above the lowest structure with this stoichiometry   0.000 eV per atom
Formation enthalpy at 0 K   -241 meV per atom
Size of the total moment   0.00 μB per formula unit
Density of states at the Fermi level   0.1 states/eV/f.u.

Lattice parameters (Å, degrees): 5.8344 5.8344 6.6753 106.19 106.19 55.36
Last column: nearest neighbours and their distance in Å.
Sites, in units of the cell vectors:
K 0.0883 0.0883 0.3505  4 K 3.10-3.36, 5 P 3.27-3.38
K 0.3094 0.3094 0.8431  4 P 3.19-3.51, 3 K 3.32-3.36
K 0.6906 0.6906 0.1569  4 P 3.19-3.51, 3 K 3.32-3.36
K 0.9117 0.9117 0.6495  4 K 3.10-3.36, 5 P 3.27-3.38
P 0.4097 0.4097 0.3469  1 P 2.29
P 0.5903 0.5903 0.6531  1 P 2.29

---

(8)
Density functional theory data (PBEsol) for crystalline KP at its relaxed geometry.

Results
Energy above the lowest structure with this stoichiometry   0.080 eV per atom
Formation enthalpy at 0 K   -336 meV per atom
Size of the total moment   0.00 μB per formula unit
Density of states at the Fermi level   1.0 states/eV/f.u.

Lattice parameters (Å, degrees): 9.0426 3.9465 6.0976 90.00 90.00 90.00
Last column: nearest neighbours and their distance in Å.
Sites, in units of the cell vectors:
K 0.1803 0.2500 0.0976  7 P 3.28-3.42
K 0.3197 0.7500 0.5976  7 P 3.28-3.42
K 0.6803 0.2500 0.4024  7 P 3.28-3.42
K 0.8197 0.7500 0.9024  7 P 3.28-3.42
P 0.0268 0.2500 0.5851  2 P 2.28
P 0.4732 0.7500 0.0851  2 P 2.28
P 0.5268 0.2500 0.9149  2 P 2.28
P 0.9732 0.7500 0.4149  2 P 2.28

---

(9)
Density functional theory data (PBEsol) for crystalline KPPb2 at its relaxed geometry.

Results
Formation enthalpy at 0 K   31 meV per atom
Size of the total moment   0.00 μB per formula unit
Density of states at the Fermi level   1.8 states/eV/f.u.

Lattice parameters (Å, degrees): 9.5549 9.5549 9.5549 23.38 23.38 23.38
Last column: nearest neighbours and their distance in Å.
Sites, in units of the cell vectors:
K 0.0000 0.0000 0.0000  6 Pb 3.69, 6 K 3.87
P 0.5000 0.5000 0.5000  6 Pb 2.81
Pb 0.2279 0.2279 0.2279  3 P 2.81
Pb 0.7721 0.7721 0.7721  3 P 2.81

---

(10)
Density functional theory data (PBEsol) for crystalline K3PPb at its relaxed geometry.

Results
Formation enthalpy at 0 K   640 meV per atom
Size of the total moment   3.94 μB per formula unit
Density of states at the Fermi level   4.1 states/eV/f.u.

Lattice parameters (Å, degrees): 6.5913 6.5913 6.5913 90.00 90.00 90.00
Last column: nearest neighbours and their distance in Å.
Sites, in units of the cell vectors:
K 0.0000 0.0000 0.5000  2 Pb 3.30
K 0.0000 0.5000 0.0000  2 Pb 3.30
K 0.5000 0.0000 0.0000  2 Pb 3.30
P 0.5000 0.5000 0.5000  12 K 4.66
Pb 0.0000 0.0000 0.0000  6 K 3.30